The following is a PBE-GGA calculation of SrAc2P2N6 after structural relaxation, from Alexandria.

a b c (Å): 6.718 5.734 5.804
angles (deg): 117.94 86.12 69.18
Sites, in units of the cell vectors:
Sr 0.500 0.000 0.500
Ac 0.813 0.482 0.780
Ac 0.187 0.518 0.220
P 0.234 0.805 0.848
P 0.766 0.195 0.152
N 0.367 0.828 0.066
N 0.798 0.485 0.333
N 0.151 0.051 0.773
N 0.202 0.515 0.667
N 0.849 0.949 0.227
N 0.633 0.172 0.934

Results
As for the density of states at the Fermi level: 0.00 states/eV/atom. The space-group type is P-1, No. 2. For the formation energy from raw total energies, the calculation gives -0.9856 eV per atom. For the size of the total moment, the calculation gives 0.0 μB/f.u. The value obtained for the total energy is -7.410 eV/atom.